No. 1
Computed, not measured: a relaxed structure of CeTh3P4 at the PBE level of DFT.

```
data_CeTh3P4
_chemical_formula_sum 'Ce2 Th6 P8'
_space_group_name_H-M_alt 'C m m m'
_space_group_IT_number 65
_space_group_name_Hall '-C 2 2'
_cell_length_a 8.268
_cell_length_b 11.688
_cell_length_c 4.130
_cell_angle_alpha 90.00
_cell_angle_beta 90.00
_cell_angle_gamma 90.00
loop_
_atom_site_label
_atom_site_type_symbol
_atom_site_fract_x
_atom_site_fract_y
_atom_site_fract_z
Ce1 Ce 0.000 0.000 0.000
Th1 Th 0.000 0.500 0.000
Th2 Th 0.250 0.250 0.500
P1 P 0.000 0.249 0.000
P2 P 0.248 0.000 0.500
```

Computed properties:
For the formation energy, the calculation gives -1.550 eV/atom. The value obtained for the total energy is -0.286 Ha/atom.

No. 2
Computed, not measured: a relaxed structure of CeTh3P4 at the PBE level of DFT.

```
data_CeTh3P4
_chemical_formula_sum 'Ce1 Th3 P4'
_space_group_name_H-M_alt 'P m -3 m'
_space_group_IT_number 221
_space_group_name_Hall '-P 4 2 3'
_cell_length_a 5.848
_cell_length_b 5.848
_cell_length_c 5.848
_cell_angle_alpha 90.00
_cell_angle_beta 90.00
_cell_angle_gamma 90.00
loop_
_atom_site_label
_atom_site_type_symbol
_atom_site_fract_x
_atom_site_fract_y
_atom_site_fract_z
Ce1 Ce 0.000 0.000 0.000
Th1 Th 0.000 0.500 0.500
P1 P 0.000 0.000 0.500
P2 P 0.500 0.500 0.500
```

Computed properties:
For the formation energy, the calculation gives -1.548 eV/atom. The value obtained for the total energy is -0.286 Ha/atom.

No. 3
Computed, not measured: a relaxed structure of CeThP at the PBE level of DFT.

```
data_CeThP
_chemical_formula_sum 'Ce1 Th1 P1'
_space_group_name_H-M_alt 'P 3 m 1'
_space_group_IT_number 156
_space_group_name_Hall 'P 3 -2"'
_cell_length_a 3.9118
_cell_length_b 3.9118
_cell_length_c 6.6117
_cell_angle_alpha 90.00
_cell_angle_beta 90.00
_cell_angle_gamma 120.00
loop_
_atom_site_label
_atom_site_type_symbol
_atom_site_fract_x
_atom_site_fract_y
_atom_site_fract_z
Ce1 Ce 0.0000 0.0000 0.0000
Th1 Th 0.3333 0.6667 0.4790
P1 P 0.6667 0.3333 0.7435
```

Computed properties:
For the formation energy, the calculation gives -0.769 eV/atom. The value obtained for the total energy is -0.258 Ha/atom.

No. 4
Computed, not measured: a relaxed structure of CeThP2 at the PBE level of DFT.

```
data_CeThP2
_chemical_formula_sum 'Ce1 Th1 P2'
_space_group_name_H-M_alt 'P -3 m 1'
_space_group_IT_number 164
_space_group_name_Hall '-P 3 2"'
_cell_length_a 4.0844
_cell_length_b 4.0844
_cell_length_c 7.1092
_cell_angle_alpha 90.00
_cell_angle_beta 90.00
_cell_angle_gamma 120.00
loop_
_atom_site_label
_atom_site_type_symbol
_atom_site_fract_x
_atom_site_fract_y
_atom_site_fract_z
Ce1 Ce 0.0000 0.0000 0.0000
Th1 Th 0.0000 0.0000 0.5000
P1 P 0.3333 0.6667 0.2505
```

Computed properties:
For the formation energy, the calculation gives -1.288 eV/atom. The calculation puts the energy above the most stable polymorph in this dataset at 1.02 eV/f.u. The value obtained for the total energy is -0.269 Ha/atom.

no.,size of the total moment (μB/f.u.)
1,0.35
2,0.96
3,1.88
4,0.75